## Sm2Y5HoTh (PBE)

Data for Sm2Y5HoTh after structural relaxation.

Values from the calculation:
DFT formation energy (meV per atom): 294
M_tot (μB/cell): 0.00

a = 9.8526 Å, b = 9.8526 Å, c = 9.8526 Å
α = 127.19°, β = 127.19°, γ = 77.94°
Last column: nearest neighbours and their distance in Å.
Sites, in units of the cell vectors:
Sm  0.1151  0.6151  0.7301  1 Sm 2.85, 2 Y 3.02
Sm  0.3849  0.1151  0.5000  1 Sm 2.85, 2 Y 3.02
Sm  0.6151  0.8849  0.5000  1 Sm 2.85, 2 Y 3.02
Sm  0.8849  0.3849  0.2699  1 Sm 2.85, 2 Y 3.02
Y  0.0000  0.0000  0.0000  4 Sm 3.52, 8 Y 3.78, 2 Th 3.83
Y  0.0733  0.1506  0.5000  1 Sm 3.02, 1 Ho 3.13
Y  0.1506  0.6506  0.0773  1 Sm 3.02, 1 Ho 3.13
Y  0.3494  0.4267  0.5000  1 Sm 3.02, 1 Ho 3.13
Y  0.4267  0.9267  0.0773  1 Sm 3.02, 1 Ho 3.13
Y  0.5000  0.5000  0.0000  4 Sm 3.52, 8 Y 3.78, 2 Th 3.83
Y  0.5733  0.0733  0.9227  1 Sm 3.02, 1 Ho 3.13
Y  0.6506  0.5733  0.5000  1 Sm 3.02, 1 Ho 3.13
Y  0.8494  0.3494  0.9227  1 Sm 3.02, 1 Ho 3.13
Y  0.9267  0.8494  0.5000  1 Sm 3.02, 1 Ho 3.13
Ho  0.2500  0.7500  0.5000  4 Y 3.13
Ho  0.7500  0.2500  0.5000  4 Y 3.13
Th  0.2500  0.2500  0.0000  10 Y 3.57-3.83
Th  0.7500  0.7500  0.0000  10 Y 3.57-3.83